Record 1
First-principles (PBE) data for an optimized crystal structure of InFeI2, as listed in Alexandria.

Values from the calculation:
Space group: R-3m, No. 166
ΔE_f (raw): 223 meV/atom
Offset from the most stable computed form: 152.1 meV per atom

Geometry as POSCAR:
```
InFeI2
1.0
1.9007 1.0973 9.7530
-1.9007 1.0973 9.7530
0.0000 -2.1947 9.7530
In Fe I
1 1 2
direct
0.0000 0.0000 0.0000
0.5000 0.5000 0.5000
0.1187 0.1187 0.1187
0.8813 0.8813 0.8813
```

=====

Record 2
First-principles (PBE) data for an optimized crystal structure of CaZnW2, as listed in Alexandria.

Values from the calculation:
Formation energy: 3.14 eV/f.u.
Space group: R-3m, No. 166

Geometry as POSCAR:
```
CaZnW2
1.0
1.4421 0.8326 9.9634
-1.4421 0.8326 9.9634
0.0000 -1.6652 9.9634
Ca Zn W
1 1 2
direct
0.0000 0.0000 0.0000
0.5000 0.5000 0.5000
0.2423 0.2423 0.2423
0.7577 0.7577 0.7577
```

=====

Record 3
First-principles (PBE) data for an optimized crystal structure of PrSmGdTh, as listed in Alexandria.

Values from the calculation:
Formation energy: 0.65 eV/f.u.
Space group: F-43m, No. 216

Geometry as POSCAR:
```
PrSmGdTh
1.0
0.0000 4.0667 4.0667
4.0667 0.0000 4.0667
4.0667 4.0667 0.0000
Pr Sm Gd Th
1 1 1 1
direct
0.0000 0.0000 0.0000
0.7500 0.7500 0.7500
0.2500 0.2500 0.2500
0.5000 0.5000 0.5000
```

=====

Record 4
First-principles (PBE) data for an optimized crystal structure of SrLi2In2Sn2, as listed in Alexandria.

Values from the calculation:
Formation energy: -2.73 eV/f.u.
Space group: R-3m, No. 166

Geometry as POSCAR:
```
SrLi2In2Sn2
1.0
2.3987 1.3849 9.0917
-2.3987 1.3849 9.0917
0.0000 -2.7698 9.0917
Sr Li In Sn
1 2 2 2
direct
0.0000 0.0000 0.0000
0.1469 0.1469 0.1469
0.8531 0.8531 0.8531
0.4458 0.4458 0.4458
0.5542 0.5542 0.5542
0.2594 0.2594 0.2594
0.7406 0.7406 0.7406
```

=====

Record 5
First-principles (PBE) data for an optimized crystal structure of MnMoSeN2, as listed in Alexandria.

Values from the calculation:
Space group: P4/mmm, No. 123
ΔE_f (raw): 871 meV/atom
Offset from the most stable computed form: 488.2 meV per atom

Geometry as POSCAR:
```
MnMoSeN2
1.0
3.6772 0.0000 0.0000
0.0000 3.6772 0.0000
0.0000 0.0000 5.0303
Mn Mo Se N
1 1 1 2
direct
0.0000 0.0000 0.0000
0.5000 0.5000 0.5000
0.0000 0.0000 0.5000
0.0000 0.5000 0.0000
0.5000 0.0000 0.0000
```

=====

Record 6
First-principles (PBE) data for an optimized crystal structure of Na3Ho3TaSe8, as listed in Alexandria.

Values from the calculation:
Space group: R-3m, No. 166
ΔE_f (raw): -1459 meV/atom

Geometry as POSCAR:
```
Na3Ho3TaSe8
1.0
4.0232 2.3228 7.1315
-4.0232 2.3228 7.1315
0.0000 -4.6456 7.1315
Na Ho Ta Se
3 3 1 8
direct
0.0000 0.5000 0.5000
0.5000 0.0000 0.5000
0.5000 0.5000 0.0000
0.0000 0.0000 0.5000
0.0000 0.5000 0.0000
0.5000 0.0000 0.0000
0.5000 0.5000 0.5000
0.2436 0.2436 0.2436
0.2604 0.7284 0.7284
0.2716 0.2716 0.7396
0.2716 0.7396 0.2716
0.7284 0.2604 0.7284
0.7284 0.7284 0.2604
0.7396 0.2716 0.2716
0.7564 0.7564 0.7564
```

=====

Record 7
First-principles (PBE) data for an optimized crystal structure of BaSmAlCd, as listed in Alexandria.

Values from the calculation:
Formation energy: -0.52 eV/f.u.
Space group: F-43m, No. 216

Geometry as POSCAR:
```
BaSmAlCd
1.0
0.0000 3.9738 3.9738
3.9738 0.0000 3.9738
3.9738 3.9738 0.0000
Ba Sm Al Cd
1 1 1 1
direct
0.0000 0.0000 0.0000
0.5000 0.5000 0.5000
0.7500 0.7500 0.7500
0.2500 0.2500 0.2500
```

=====

Record 8
First-principles (PBE) data for an optimized crystal structure of PaAgAuO5, as listed in Alexandria.

Values from the calculation:
Space group: C2/c, No. 15
ΔE_f (raw): -1403 meV/atom

Geometry as POSCAR:
```
PaAgAuO5
1.0
3.2660 -4.7862 0.0000
3.2660 4.7862 0.0000
-2.2494 0.0000 8.0939
Pa Ag Au O
2 2 2 10
direct
0.0000 0.0000 0.0000
0.0000 0.0000 0.5000
0.3089 0.6911 0.7500
0.6911 0.3089 0.2500
0.3501 0.6499 0.2500
0.6499 0.3501 0.7500
0.0850 0.9150 0.7500
0.1443 0.7526 0.0826
0.2474 0.8557 0.4174
0.3492 0.3704 0.6008
0.3704 0.3492 0.1008
0.6296 0.6508 0.8992
0.6508 0.6296 0.3992
0.7526 0.1443 0.5826
0.8557 0.2474 0.9174
0.9150 0.0850 0.2500
```

=====

Record 9
First-principles (PBE) data for an optimized crystal structure of Sr3ZnCl, as listed in Alexandria.

Values from the calculation:
Space group: Pm-3m, No. 221
ΔE_f (raw): -452 meV/atom
Offset from the most stable computed form: 0.0 meV per atom

Geometry as POSCAR:
```
Sr3ZnCl
1.0
5.7646 0.0000 0.0000
0.0000 5.7646 0.0000
0.0000 0.0000 5.7646
Sr Zn Cl
3 1 1
direct
0.0000 0.0000 0.5000
0.0000 0.5000 0.0000
0.5000 0.0000 0.0000
0.5000 0.5000 0.5000
0.0000 0.0000 0.0000
```

=====

Record 10
First-principles (PBE) data for an optimized crystal structure of TcB3Pb, as listed in Alexandria.

Values from the calculation:
Formation energy: 4.73 eV/f.u.
Space group: Pm-3m, No. 221
Offset from the most stable computed form: 0.0 meV per atom

Geometry as POSCAR:
```
TcB3Pb
1.0
4.2312 0.0000 0.0000
0.0000 4.2312 0.0000
0.0000 0.0000 4.2312
Tc B Pb
1 3 1
direct
0.0000 0.0000 0.0000
0.0000 0.0000 0.5000
0.0000 0.5000 0.0000
0.5000 0.0000 0.0000
0.5000 0.5000 0.5000
```

=====

Record 11
First-principles (PBE) data for an optimized crystal structure of BaSrIn2Ir, as listed in Alexandria.

Values from the calculation:
Formation energy: -1.31 eV/f.u.
Space group: P4/mmm, No. 123

Geometry as POSCAR:
```
BaSrIn2Ir
1.0
5.3233 0.0000 0.0000
0.0000 5.3233 0.0000
0.0000 0.0000 5.6727
Ba Sr In Ir
1 1 2 1
direct
0.0000 0.0000 0.0000
0.5000 0.5000 0.0000
0.0000 0.5000 0.5000
0.5000 0.0000 0.5000
0.5000 0.5000 0.5000
```

=====

Record 12
First-principles (PBE) data for an optimized crystal structure of SrZn3Ga, as listed in Alexandria.

Values from the calculation:
Formation energy: 4.45 eV/f.u.
Space group: Pm-3m, No. 221
Offset from the most stable computed form: 1184.0 meV per atom

Geometry as POSCAR:
```
SrZn3Ga
1.0
5.9455 0.0000 0.0000
0.0000 5.9455 0.0000
0.0000 0.0000 5.9455
Sr Zn Ga
1 3 1
direct
0.0000 0.0000 0.0000
0.0000 0.0000 0.5000
0.0000 0.5000 0.0000
0.5000 0.0000 0.0000
0.5000 0.5000 0.5000
```

=====

Record 13
First-principles (PBE) data for an optimized crystal structure of MnNb2Ga5Rh2, as listed in Alexandria.

Values from the calculation:
Formation energy: -2.13 eV/f.u.
Space group: P4/mbm, No. 127

Geometry as POSCAR:
```
MnNb2Ga5Rh2
1.0
10.3715 0.0000 0.0000
0.0000 10.3715 0.0000
0.0000 0.0000 2.9462
Mn Nb Ga Rh
2 4 10 4
direct
0.0000 0.0000 0.0000
0.5000 0.5000 0.0000
0.1819 0.3181 0.0000
0.3181 0.8181 0.0000
0.6819 0.1819 0.0000
0.8181 0.6819 0.0000
0.0000 0.5000 0.5000
0.0229 0.7996 0.5000
0.2004 0.0229 0.5000
0.2996 0.5229 0.5000
0.4771 0.2996 0.5000
0.5000 0.0000 0.5000
0.5229 0.7004 0.5000
0.7004 0.4771 0.5000
0.7996 0.9771 0.5000
0.9771 0.2004 0.5000
0.1401 0.6401 0.0000
0.3599 0.1401 0.0000
0.6401 0.8599 0.0000
0.8599 0.3599 0.0000
```

=====

Record 14
First-principles (PBE) data for an optimized crystal structure of Ca2GePPd6, as listed in Alexandria.

Values from the calculation:
Formation energy: -6.86 eV/f.u.
Space group: Pmmn, No. 59

Geometry as POSCAR:
```
Ca2GePPd6
1.0
5.6993 0.0000 0.0000
0.0000 8.8033 0.0000
0.0000 0.0000 7.7865
Ca Ge P Pd
4 2 2 12
direct
0.2500 0.0174 0.2293
0.2500 0.4826 0.2293
0.7500 0.5174 0.7707
0.7500 0.9826 0.7707
0.2500 0.7500 0.7740
0.7500 0.2500 0.2260
0.2500 0.2500 0.7368
0.7500 0.7500 0.2632
0.0061 0.7500 0.0357
0.0071 0.7500 0.4992
0.2500 0.0016 0.6274
0.2500 0.4984 0.6274
0.4929 0.7500 0.4992
0.4939 0.7500 0.0357
0.5061 0.2500 0.9643
0.5071 0.2500 0.5008
0.7500 0.5016 0.3726
0.7500 0.9984 0.3726
0.9929 0.2500 0.5008
0.9939 0.2500 0.9643
```

=====

Record 15
First-principles (PBE) data for an optimized crystal structure of YHf2C, as listed in Alexandria.

Values from the calculation:
Formation energy: -1.16 eV/f.u.
Space group: R-3m, No. 166

Geometry as POSCAR:
```
YHf2C
1.0
1.6478 0.9513 8.8726
-1.6478 0.9513 8.8726
0.0000 -1.9027 8.8726
Y Hf C
1 2 1
direct
0.0000 0.0000 0.0000
0.1208 0.1208 0.1208
0.8792 0.8792 0.8792
0.5000 0.5000 0.5000
```

=====

Record 16
First-principles (PBE) data for an optimized crystal structure of Pr2SmPuSb4, as listed in Alexandria.

Values from the calculation:
Space group: P2/m, No. 10
ΔE_f (raw): -1031 meV/atom

Geometry as POSCAR:
```
Pr2SmPuSb4
1.0
7.7962 0.0000 0.0000
0.0000 4.5092 0.0000
-2.5965 0.0000 7.3516
Pr Sm Pu Sb
2 1 1 4
direct
0.0000 0.0000 0.0000
0.5000 0.5000 0.0000
0.0000 0.5000 0.5000
0.5000 0.0000 0.5000
0.2498 0.0000 0.7430
0.2551 0.5000 0.2588
0.7449 0.5000 0.7412
0.7502 0.0000 0.2570
```

=====

Record 17
First-principles (PBE) data for an optimized crystal structure of Cs3Ce3GaSe8, as listed in Alexandria.

Values from the calculation:
Space group: R-3m, No. 166
ΔE_f (raw): -1414 meV/atom

Geometry as POSCAR:
```
Cs3Ce3GaSe8
1.0
4.2747 2.4680 8.4744
-4.2747 2.4680 8.4744
0.0000 -4.9360 8.4744
Cs Ce Ga Se
3 3 1 8
direct
0.0000 0.5000 0.5000
0.5000 0.0000 0.5000
0.5000 0.5000 0.0000
0.0000 0.0000 0.5000
0.0000 0.5000 0.0000
0.5000 0.0000 0.0000
0.5000 0.5000 0.5000
0.2295 0.2295 0.2295
0.2365 0.7194 0.7194
0.2806 0.2806 0.7635
0.2806 0.7635 0.2806
0.7194 0.2365 0.7194
0.7194 0.7194 0.2365
0.7635 0.2806 0.2806
0.7705 0.7705 0.7705
```

=====

Record 18
First-principles (PBE) data for an optimized crystal structure of In6Hg12Bi, as listed in Alexandria.

Values from the calculation:
Formation energy: 0.31 eV/f.u.
Space group: P-1, No. 2
Offset from the most stable computed form: 0.0 meV per atom

Geometry as POSCAR:
```
In6Hg12Bi
1.0
7.1421 0.0000 0.0000
-1.2016 7.5399 0.0000
-2.8897 -3.2933 9.7826
In Hg Bi
6 12 1
direct
0.1595 0.3526 0.2199
0.2517 0.8235 0.4228
0.3277 0.6569 0.8197
0.6723 0.3431 0.1803
0.7483 0.1765 0.5772
0.8405 0.6474 0.7801
0.0346 0.3313 0.8921
0.1027 0.9921 0.6643
0.2224 0.0169 0.9765
0.3971 0.3587 0.5669
0.4269 0.0738 0.2833
0.4663 0.6750 0.1255
0.5337 0.3250 0.8745
0.5731 0.9262 0.7167
0.6029 0.6413 0.4331
0.7776 0.9831 0.0235
0.8973 0.0079 0.3357
0.9654 0.6687 0.1079
0.0000 0.5000 0.5000
```

=====

Record 19
First-principles (PBE) data for an optimized crystal structure of RbHgBr2, as listed in Alexandria.

Values from the calculation:
Space group: C2/c, No. 15
ΔE_f (raw): -904 meV/atom
Offset from the most stable computed form: 0.0 meV per atom

Geometry as POSCAR:
```
RbHgBr2
1.0
8.4617 -3.2382 0.0000
8.4617 3.2382 0.0000
-0.0265 0.0000 6.0735
Rb Hg Br
2 2 4
direct
0.0000 0.5000 0.0000
0.5000 0.0000 0.5000
0.0000 0.0000 0.0000
0.0000 0.0000 0.5000
0.0773 0.6304 0.5015
0.3696 0.9227 0.9985
0.6304 0.0773 0.0015
0.9227 0.3696 0.4985
```

=====

Record 20
First-principles (PBE) data for an optimized crystal structure of LiAcMg, as listed in Alexandria.

Values from the calculation:
Formation energy: 0.00 eV/f.u.
Space group: P-6m2, No. 187
Offset from the most stable computed form: 20.0 meV per atom

Geometry as POSCAR:
```
LiAcMg
1.0
5.3950 0.0000 0.0000
-2.6975 4.6722 0.0000
0.0000 0.0000 3.6592
Li Ac Mg
1 1 1
direct
0.0000 0.0000 0.0000
0.6667 0.3333 0.5000
0.3333 0.6667 0.0000
```

=====

| no. | total magnetic moment (μB per formula unit) | volume (Å³/cell) |
| --- | --- | --- |
| 1 | 0.18 | 122 |
| 2 | 0.00 | 72 |
| 3 | 7.52 | 135 |
| 4 | 0.00 | 181 |
| 5 | 2.92 | 68 |
| 6 | 1.01 | 400 |
| 7 | 0.00 | 125 |
| 8 | 1.01 | 253 |
| 9 | 0.00 | 192 |
| 10 | 0.00 | 76 |
| 11 | 0.00 | 161 |
| 12 | 0.00 | 210 |
| 13 | 3.01 | 317 |
| 14 | 0.00 | 391 |
| 15 | 0.00 | 83 |
| 16 | 5.02 | 258 |
| 17 | 1.53 | 536 |
| 18 | 0.00 | 527 |
| 19 | 0.00 | 333 |
| 20 | 0.00 | 92 |